1.
Density functional theory data (PBE-GGA) for an optimized crystal structure of BaZn2Cu.

POSCAR file:
```
BaZn2Cu
1.0
5.351 -0.048 -0.036
0.194 5.348 0.036
-1.953 -3.508 3.539
Ba Cu Zn
1 1 2
direct
0.750 0.250 0.500
0.250 0.750 0.500
0.076 0.076 0.000
0.424 0.424 0.000
```

- Space-group type: Immm (71)
- DOS at the Fermi energy: 0.6874 states/eV/atom
- E_form: 0.0396 eV per atom


2.
Density functional theory data (PBE-GGA) for an optimized crystal structure of GaNiPt3.

POSCAR file:
```
GaNiPt3
1.0
6.951 -0.211 -0.158
0.192 6.687 -0.375
0.192 1.530 6.520
Ga Ni Pt
4 4 12
direct
0.250 0.841 0.159
0.750 0.159 0.841
0.250 0.340 0.660
0.750 0.660 0.340
0.926 0.630 0.865
0.574 0.135 0.370
0.074 0.370 0.135
0.426 0.865 0.630
0.603 0.812 0.994
0.897 0.006 0.188
0.397 0.188 0.006
0.103 0.994 0.812
0.716 0.401 0.100
0.784 0.900 0.599
0.284 0.599 0.900
0.216 0.100 0.401
0.603 0.505 0.688
0.897 0.312 0.495
0.397 0.495 0.312
0.103 0.688 0.505
```

- Space-group type: C2/c (15)
- DOS at the Fermi energy: 1.0722 states/eV/atom
- Offset from the most stable computed form: 140 meV per atom
- E_form: -0.2301 eV per atom


3.
Density functional theory data (PBE-GGA) for an optimized crystal structure of BC2.

POSCAR file:
```
BC2
1.0
-0.720 -0.251 4.516
-3.550 -0.174 -2.833
1.944 -4.067 -0.867
B C
4 8
direct
0.151 0.879 0.487
0.334 0.676 0.033
0.238 0.516 0.620
0.797 0.135 0.492
0.027 0.706 0.123
0.517 0.498 0.492
0.379 0.363 0.124
0.726 0.062 0.109
0.669 0.337 0.997
0.543 0.214 0.637
0.001 0.002 0.998
0.869 0.861 0.638
```

- Space-group type: P1 (1)
- DOS at the Fermi energy: 0.1069 states/eV/atom
- Offset from the most stable computed form: 126 meV per atom
- E_form: 0.3664 eV per atom


4.
Density functional theory data (PBE-GGA) for an optimized crystal structure of Dy8Er3Tm.

POSCAR file:
```
Dy8Er3Tm
1.0
-5.052 -5.404 1.824
-2.565 -0.023 -7.174
8.900 -2.655 0.872
Dy Er Tm
8 3 1
direct
0.875 0.375 0.250
0.375 0.375 0.250
0.125 0.125 0.750
0.625 0.125 0.750
0.375 0.875 0.250
0.875 0.875 0.250
0.625 0.625 0.750
0.125 0.625 0.750
0.250 0.750 0.500
0.500 0.500 0.000
0.750 0.250 0.500
0.000 0.000 0.000
```

- Space-group type: I4/mmm (139)
- DOS at the Fermi energy: 1.0859 states/eV/atom
- E_form: 0.7205 eV per atom


5.
Density functional theory data (PBE-GGA) for an optimized crystal structure of Fe4Co.

POSCAR file:
```
Fe4Co
1.0
5.391 0.910 1.383
3.541 4.017 -1.770
-5.168 -1.049 1.999
Fe Co
4 1
direct
0.750 0.250 0.500
0.400 0.400 0.000
0.600 0.600 0.000
0.250 0.750 0.500
0.000 0.000 0.000
```

- Space-group type: I4/mmm (139)
- DOS at the Fermi energy: 1.2850 states/eV/atom
- Offset from the most stable computed form: 637 meV per atom
- E_form: 0.6025 eV per atom


6.
Density functional theory data (PBE-GGA) for an optimized crystal structure of Lu2HIr.

POSCAR file:
```
Lu2HIr
1.0
3.817 0.000 0.000
1.908 3.305 0.000
1.908 1.102 5.866
H Ir Lu
1 1 2
direct
0.000 0.000 0.000
0.500 0.500 0.500
0.743 0.743 0.770
0.257 0.257 0.230
```

- Space-group type: R-3m (166)
- DOS at the Fermi energy: 0.3040 states/eV/atom
- E_tot: -5.861 eV per atom


7.
Density functional theory data (PBE-GGA) for an optimized crystal structure of NdCoI.

POSCAR file:
```
NdCoI
1.0
-3.349 2.305 0.188
0.612 -2.445 -3.196
-4.106 -10.082 6.958
Nd Co I
2 2 2
direct
0.901 0.449 0.350
0.099 0.551 0.650
0.332 0.166 0.497
0.668 0.834 0.503
0.550 0.277 0.826
0.450 0.723 0.174
```

- Space-group type: C2/m (12)
- DOS at the Fermi energy: 0.6957 states/eV/atom
- Energy relative to the elements, uncorrected: -741 meV per atom


8.
Density functional theory data (PBE-GGA) for an optimized crystal structure of BC5.

POSCAR file:
```
BC5
1.0
2.518 0.000 0.000
0.000 3.735 0.000
0.000 0.000 7.676
B C
2 10
direct
0.500 0.745 0.000
0.500 0.505 0.500
0.500 0.496 0.172
0.000 0.257 0.168
0.000 0.034 0.000
0.000 0.216 0.500
0.000 0.993 0.332
0.500 0.754 0.328
0.500 0.496 0.828
0.000 0.257 0.832
0.000 0.993 0.668
0.500 0.754 0.672
```

- Space-group type: Pmma (51)
- DOS at the Fermi energy: 0.1991 states/eV/atom
- Offset from the most stable computed form: 37 meV per atom
- E_form: 0.2462 eV per atom


9.
Density functional theory data (PBE-GGA) for an optimized crystal structure of Ce4CdTc.

POSCAR file:
```
Ce4CdTc
1.0
-2.548 5.243 0.643
-6.519 -3.198 0.238
5.108 -1.645 6.922
Ce Cd Tc
8 2 2
direct
0.808 0.308 0.616
0.621 0.363 0.243
0.000 0.195 0.000
0.379 0.120 0.757
0.192 0.692 0.384
0.379 0.637 0.757
0.000 0.805 0.000
0.621 0.880 0.243
0.196 0.196 0.392
0.804 0.804 0.608
0.749 0.500 0.000
0.251 0.500 0.000
```

- Space-group type: Immm (71)
- DOS at the Fermi energy: 2.8693 states/eV/atom
- E_form: -0.0568 eV per atom


10.
Density functional theory data (PBE-GGA) for an optimized crystal structure of PrGaAg2Se4.

POSCAR file:
```
PrGaAg2Se4
1.0
9.322 0.095 -0.186
0.129 9.281 -0.183
-4.865 -4.825 5.443
Pr Ga Ag Se
2 2 4 8
direct
0.993 0.522 0.011
0.977 0.509 0.490
0.578 0.511 0.476
0.987 0.922 0.023
0.603 0.026 0.988
0.475 0.900 0.514
0.123 0.025 0.518
0.473 0.377 0.981
0.226 0.789 0.061
0.713 0.273 0.439
0.222 0.779 0.554
0.719 0.281 0.947
0.713 0.723 0.918
0.776 0.787 0.582
0.169 0.246 0.441
0.254 0.329 0.059
```

- Space-group type: P1 (1)
- Energy relative to the elements, uncorrected: -739 meV per atom


11.
Density functional theory data (PBE-GGA) for an optimized crystal structure of CuRu2Br.

POSCAR file:
```
CuRu2Br
1.0
-2.483 0.288 -1.339
2.177 -1.270 -1.299
-2.655 -7.860 3.236
Br Cu Ru
1 1 2
direct
0.500 0.500 0.250
0.500 0.500 0.750
0.000 0.000 0.990
0.000 0.000 0.510
```

- Space-group type: Cmmm (65)
- DOS at the Fermi energy: 1.3387 states/eV/atom
- Offset from the most stable computed form: 480 meV per atom
- Energy relative to the elements, uncorrected: 926 meV per atom


12.
Density functional theory data (PBE-GGA) for an optimized crystal structure of NdMgGa2Pd2.

POSCAR file:
```
NdMgGa2Pd2
1.0
4.401 0.000 0.000
-2.200 3.811 0.000
0.000 0.000 6.932
Nd Mg Ga Pd
1 1 2 2
direct
0.000 0.000 0.000
0.000 0.000 0.500
0.667 0.333 0.729
0.333 0.667 0.271
0.667 0.333 0.341
0.333 0.667 0.659
```

- Space-group type: P-3m1 (164)
- DOS at the Fermi energy: 0.6972 states/eV/atom
- E_form: -0.7364 eV per atom